Record 1
Material: Er3Pd6Au
Method: DFT, GGA-PBE
State: relaxed

POSCAR file:
```
Er3Pd6Au
1.0
5.161 -7.729 0.000
5.161 7.729 0.000
0.000 0.000 4.856
Er Pd Au
6 12 2
direct
0.104 0.896 0.500
0.228 0.433 0.892
0.433 0.228 0.392
0.567 0.772 0.892
0.772 0.567 0.392
0.896 0.104 0.000
0.035 0.457 0.302
0.103 0.204 0.471
0.204 0.103 0.971
0.211 0.789 0.030
0.457 0.035 0.802
0.458 0.542 0.352
0.542 0.458 0.852
0.543 0.965 0.302
0.789 0.211 0.530
0.796 0.897 0.471
0.897 0.796 0.971
0.965 0.543 0.802
0.293 0.707 0.527
0.707 0.293 0.027
```

- ΔE_f: -0.72 eV per atom
- V: 19.4 A^3/atom
- Space group: Cmc2_1 (36)


Record 2
Material: ErPd4Au2
Method: DFT, GGA-PBE
State: relaxed

POSCAR file:
```
ErPd4Au2
1.0
4.097 -4.199 0.000
4.097 4.199 0.000
0.000 0.000 3.787
Er Pd Au
1 4 2
direct
0.000 0.000 0.000
0.000 0.500 0.000
0.250 0.750 0.500
0.500 0.000 0.000
0.750 0.250 0.500
0.279 0.279 0.500
0.721 0.721 0.500
```

- ΔE_f: -0.44 eV per atom
- V: 18.6 A^3/atom
- Space group: Cmmm (65)


Record 3
Material: ErPd6Au3
Method: DFT, GGA-PBE
State: relaxed

POSCAR file:
```
ErPd6Au3
1.0
5.568 3.215 1.753
-5.568 3.215 1.753
0.000 -6.429 1.753
Er Pd Au
1 6 3
direct
0.000 0.000 0.000
0.004 0.646 0.646
0.264 0.510 0.510
0.510 0.264 0.510
0.510 0.510 0.264
0.646 0.004 0.646
0.646 0.646 0.004
0.091 0.091 0.598
0.091 0.598 0.091
0.598 0.091 0.091
```

- ΔE_f: -0.10 eV per atom
- V: 18.8 A^3/atom
- Space group: R3m (160)


Record 4
Material: ErPd4Au2
Method: DFT, GGA-PBE
State: relaxed

POSCAR file:
```
ErPd4Au2
1.0
6.333 0.000 0.000
-2.663 6.314 0.000
-0.449 -3.824 6.294
Er Pd Au
2 8 4
direct
0.000 0.000 0.000
0.252 0.525 0.656
0.061 0.423 0.962
0.191 0.073 0.679
0.460 0.390 0.117
0.535 0.811 0.082
0.579 0.037 0.843
0.718 0.685 0.559
0.852 0.342 0.280
0.933 0.771 0.245
0.315 0.725 0.389
0.398 0.160 0.356
0.670 0.461 0.804
0.796 0.104 0.522
```

- ΔE_f: -0.46 eV per atom
- V: 18.0 A^3/atom
- Space group: P1 (1)


Record 5
Material: ErPd9Au2
Method: DFT, GGA-PBE
State: relaxed

POSCAR file:
```
ErPd9Au2
1.0
4.041 0.000 0.000
0.000 4.041 0.000
0.000 0.000 12.085
Er Pd Au
1 9 2
direct
0.000 0.000 0.000
0.000 0.500 0.171
0.000 0.500 0.500
0.000 0.500 0.829
0.500 0.000 0.171
0.500 0.000 0.500
0.500 0.000 0.829
0.500 0.500 0.000
0.500 0.500 0.335
0.500 0.500 0.665
0.000 0.000 0.337
0.000 0.000 0.663
```

- ΔE_f: -0.33 eV per atom
- V: 16.4 A^3/atom
- Space group: P4/mmm (123)


Record 6
Material: ErPd2Au8
Method: DFT, GGA-PBE
State: relaxed

POSCAR file:
```
ErPd2Au8
1.0
7.538 -2.074 0.000
7.538 2.074 0.000
-1.680 0.000 6.368
Er Pd Au
1 2 8
direct
0.000 0.000 0.000
0.274 0.274 0.367
0.726 0.726 0.633
0.096 0.096 0.455
0.184 0.184 0.912
0.360 0.360 0.810
0.451 0.451 0.277
0.549 0.549 0.723
0.640 0.640 0.190
0.816 0.816 0.088
0.904 0.904 0.545
```

- ΔE_f: -0.31 eV per atom
- V: 18.1 A^3/atom
- Space group: C2/m (12)


- Which of these has the lowest ΔE_f?
  Er3Pd6Au